DyNbPt after structural relaxation. Source: Alexandria via LeMat-Bulk, functional PBE-GGA.

abc: 4.4725 5.9056 5.3312
angles: 90.00 90.00 112.25
Fractional coordinates of all 6 atoms:
Nb (0.0000, 0.0000, 0.5000)
Dy (0.7056, 0.4112, 0.2500)
Pt (0.5812, 0.1625, 0.7500)
Nb (0.0000, 0.0000, 0.0000)
Pt (0.4188, 0.8375, 0.2500)
Dy (0.2944, 0.5888, 0.7500)

Properties
symmetry: Cmcm
M_tot: 0.0 μB per cell
ΔH_f (0 K): -0.5974 eV per atom